Record 1
Below is crystalline LaIn3O at its relaxed geometry, with properties calculated at the PBE level. Values from VASP.

## Properties
As for the space group: Pm-3m, No. 221. As for the raw total energy: -12.5 eV per cell. The raw formation energy is 1.12 eV per atom. For the excess energy over the best structure of this formula in the dataset, the calculation gives 1.5856 eV/atom. For the total magnetization, the calculation gives 0.000 μB/cell.

Quantum ESPRESSO input file:
```
&SYSTEM
  ibrav = 0, nat = 5, ntyp = 3
/
ATOMIC_SPECIES
In 114.82 In.upf
O 16.00 O.upf
La 138.91 La.upf
CELL_PARAMETERS angstrom
-1.800 -4.885 3.344
-0.590 -3.330 -5.182
5.891 -1.826 0.503
ATOMIC_POSITIONS crystal
In 0.000 0.500 0.000
O 0.500 0.500 0.500
La 0.000 0.000 0.000
In 0.000 0.000 0.500
In 0.500 0.000 0.000
```



Record 2
Below is crystalline Ba2CuPt at its relaxed geometry, with properties calculated at the PBE level. Values from VASP.

## Properties
As for the space group: I-42d, No. 122. As for the raw total energy: -28.6 eV per cell. For the total magnetization, the calculation gives 0.000 μB/cell.

Quantum ESPRESSO input file:
```
&SYSTEM
  ibrav = 0, nat = 8, ntyp = 3
/
ATOMIC_SPECIES
Ba 137.33 Ba.upf
Cu 63.55 Cu.upf
Pt 195.08 Pt.upf
CELL_PARAMETERS angstrom
-4.623 -6.992 0.207
6.310 -4.275 -3.495
2.319 -6.499 2.079
ATOMIC_POSITIONS crystal
Ba 0.875 0.890 0.750
Ba 0.640 0.125 0.250
Ba 0.375 0.360 0.750
Ba 0.110 0.625 0.250
Cu 0.500 0.500 0.000
Cu 0.250 0.750 0.500
Pt 0.750 0.250 0.500
Pt 0.000 0.000 0.000
```



Record 3
Below is crystalline RhSeCl2 at its relaxed geometry, with properties calculated at the PBE level. Values from VASP.

## Properties
As for the space group: P4/mmm, No. 123. As for the raw total energy: -11.5 eV per cell. The raw formation energy is 0.75 eV per atom. For the excess energy over the best structure of this formula in the dataset, the calculation gives 1.1204 eV/atom. For the total magnetization, the calculation gives 2.015 μB/cell.

Quantum ESPRESSO input file:
```
&SYSTEM
  ibrav = 0, nat = 4, ntyp = 3
/
ATOMIC_SPECIES
Cl 35.45 Cl.upf
Se 78.96 Se.upf
Rh 102.91 Rh.upf
CELL_PARAMETERS angstrom
4.947 0.000 0.000
0.000 4.947 0.000
0.000 0.000 3.070
ATOMIC_POSITIONS crystal
Cl 0.000 0.000 0.000
Se 0.000 0.500 0.500
Cl 0.500 0.500 0.000
Rh 0.500 0.000 0.500
```



Record 4
Below is crystalline RbGaC at its relaxed geometry, with properties calculated at the PBE level. Values from VASP.

## Properties
As for the space group: I4/mmm, No. 139. As for the raw total energy: -44.8 eV per cell. For the total magnetization, the calculation gives 0.000 μB/cell.

Quantum ESPRESSO input file:
```
&SYSTEM
  ibrav = 0, nat = 12, ntyp = 3
/
ATOMIC_SPECIES
C 12.01 C.upf
Rb 85.47 Rb.upf
Ga 69.72 Ga.upf
CELL_PARAMETERS angstrom
10.473 0.000 0.000
0.000 10.473 0.000
5.237 5.237 3.190
ATOMIC_POSITIONS crystal
C 0.000 0.256 0.000
Rb 0.500 0.184 0.000
C 0.000 0.744 0.000
Rb 0.184 0.500 0.000
Rb 0.816 0.500 0.000
Ga 0.131 0.869 0.000
C 0.744 0.000 0.000
C 0.256 0.000 0.000
Ga 0.869 0.131 0.000
Ga 0.131 0.131 0.000
Ga 0.869 0.869 0.000
Rb 0.500 0.816 0.000
```



Record 5
Below is crystalline TlGePO2 at its relaxed geometry, with properties calculated at the PBE level. Values from VASP.

## Properties
As for the space group: P4/mmm, No. 123. As for the raw total energy: -24.3 eV per cell. The raw formation energy is -0.40 eV per atom. For the excess energy over the best structure of this formula in the dataset, the calculation gives 0.0000 eV/atom. For the total magnetization, the calculation gives 0.147 μB/cell.

Quantum ESPRESSO input file:
```
&SYSTEM
  ibrav = 0, nat = 5, ntyp = 4
/
ATOMIC_SPECIES
O 16.00 O.upf
Ge 72.64 Ge.upf
P 30.97 P.upf
Tl 204.38 Tl.upf
CELL_PARAMETERS angstrom
-0.025 -3.715 -0.833
3.806 -0.042 0.076
-0.113 -1.127 5.027
ATOMIC_POSITIONS crystal
O 0.000 0.500 0.000
Ge 0.000 0.000 0.000
P 0.000 0.000 0.500
Tl 0.500 0.500 0.500
O 0.500 0.000 0.000
```



Record 6
Below is crystalline CaBePt2 at its relaxed geometry, with properties calculated at the PBE level. Values from VASP.

## Properties
As for the space group: P4/mmm, No. 123. As for the raw total energy: -19.6 eV per cell. For the total magnetization, the calculation gives 0.000 μB/cell.

Quantum ESPRESSO input file:
```
&SYSTEM
  ibrav = 0, nat = 4, ntyp = 3
/
ATOMIC_SPECIES
Pt 195.08 Pt.upf
Be 9.01 Be.upf
Ca 40.08 Ca.upf
CELL_PARAMETERS angstrom
-2.097 -2.328 -2.711
0.216 -3.219 2.600
-3.237 1.062 1.588
ATOMIC_POSITIONS crystal
Pt 0.500 0.500 0.000
Pt 0.000 0.000 0.000
Be 0.500 0.000 0.500
Ca 0.000 0.500 0.500
```



Record 7
Below is crystalline VOsPt3 at its relaxed geometry, with properties calculated at the PBE level. Values from VASP.

## Properties
As for the space group: Pm-3m, No. 221. As for the raw total energy: -31.6 eV per cell. For the excess energy over the best structure of this formula in the dataset, the calculation gives 0.0000 eV/atom. For the total magnetization, the calculation gives 3.102 μB/cell.

Quantum ESPRESSO input file:
```
&SYSTEM
  ibrav = 0, nat = 5, ntyp = 3
/
ATOMIC_SPECIES
Pt 195.08 Pt.upf
Os 190.23 Os.upf
V 50.94 V.upf
CELL_PARAMETERS angstrom
-1.802 2.491 -3.696
1.609 -3.355 -3.045
-4.157 -2.378 0.424
ATOMIC_POSITIONS crystal
Pt 0.000 0.500 0.000
Pt 0.500 0.000 0.000
Pt 0.000 0.000 0.500
Os 0.000 0.000 0.000
V 0.500 0.500 0.500
```



Record 8
Below is crystalline ScBeCu2 at its relaxed geometry, with properties calculated at the PBE level. Values from VASP.

## Properties
As for the space group: P4mm, No. 99. As for the raw total energy: -18.5 eV per cell. For the total magnetization, the calculation gives 0.000 μB/cell.

Quantum ESPRESSO input file:
```
&SYSTEM
  ibrav = 0, nat = 4, ntyp = 3
/
ATOMIC_SPECIES
Cu 63.55 Cu.upf
Sc 44.96 Sc.upf
Be 9.01 Be.upf
CELL_PARAMETERS angstrom
2.978 0.000 0.000
0.000 2.978 0.000
0.000 0.000 6.147
ATOMIC_POSITIONS crystal
Cu 0.500 0.500 0.207
Sc 0.000 0.000 0.507
Be 0.500 0.500 0.813
Cu 0.000 0.000 0.973
```



Record 9
Below is crystalline NaTmGe2 at its relaxed geometry, with properties calculated at the PBE level. Values from VASP.

## Properties
As for the space group: P4/mmm, No. 123. As for the raw total energy: -16.4 eV per cell. For the excess energy over the best structure of this formula in the dataset, the calculation gives 0.0051 eV/atom. For the total magnetization, the calculation gives 0.000 μB/cell.

Quantum ESPRESSO input file:
```
&SYSTEM
  ibrav = 0, nat = 4, ntyp = 3
/
ATOMIC_SPECIES
Ge 72.64 Ge.upf
Tm 168.93 Tm.upf
Na 22.99 Na.upf
CELL_PARAMETERS angstrom
3.784 0.000 0.000
0.000 3.784 0.000
0.000 0.000 6.865
ATOMIC_POSITIONS crystal
Ge 0.000 0.000 0.810
Tm 0.500 0.500 0.000
Na 0.500 0.500 0.500
Ge 0.000 0.000 0.190
```



Record 10
Below is crystalline SrRe2Ru at its relaxed geometry, with properties calculated at the PBE level. Values from VASP.

## Properties
As for the space group: Fm-3m, No. 225. As for the raw total energy: -30.8 eV per cell. For the excess energy over the best structure of this formula in the dataset, the calculation gives 0.6712 eV/atom. For the total magnetization, the calculation gives 0.000 μB/cell.

Quantum ESPRESSO input file:
```
&SYSTEM
  ibrav = 0, nat = 4, ntyp = 3
/
ATOMIC_SPECIES
Ru 101.07 Ru.upf
Re 186.21 Re.upf
Sr 87.62 Sr.upf
CELL_PARAMETERS angstrom
0.000 3.251 3.251
3.251 0.000 3.251
3.251 3.251 0.000
ATOMIC_POSITIONS crystal
Ru 0.500 0.500 0.500
Re 0.750 0.750 0.750
Sr 0.000 0.000 0.000
Re 0.250 0.250 0.250
```



Record 11
Below is crystalline KNiGe at its relaxed geometry, with properties calculated at the PBE level. Values from VASP.

## Properties
As for the space group: P4/nmm, No. 129. As for the raw total energy: -24.0 eV per cell. For the excess energy over the best structure of this formula in the dataset, the calculation gives 0.0198 eV/atom. For the total magnetization, the calculation gives 0.000 μB/cell.

Quantum ESPRESSO input file:
```
&SYSTEM
  ibrav = 0, nat = 6, ntyp = 3
/
ATOMIC_SPECIES
Ge 72.64 Ge.upf
K 39.10 K.upf
Ni 58.69 Ni.upf
CELL_PARAMETERS angstrom
-0.547 -3.970 -1.540
2.968 0.758 -3.007
5.541 -2.628 4.807
ATOMIC_POSITIONS crystal
Ge 0.000 0.500 0.367
K 0.500 0.000 0.167
Ge 0.500 0.000 0.633
Ni 0.500 0.500 0.500
K 0.000 0.500 0.833
Ni 0.000 0.000 0.500
```



Record 12
Below is crystalline SrZnAg2F8 at its relaxed geometry, with properties calculated at the PBE level. Values from VASP.

## Properties
As for the space group: P-1, No. 2. As for the raw total energy: -48.7 eV per cell. The raw formation energy is -2.09 eV per atom. For the total magnetization, the calculation gives 2.030 μB/cell.

Quantum ESPRESSO input file:
```
&SYSTEM
  ibrav = 0, nat = 12, ntyp = 4
/
ATOMIC_SPECIES
F 19.00 F.upf
Ag 107.87 Ag.upf
Zn 65.41 Zn.upf
Sr 87.62 Sr.upf
CELL_PARAMETERS angstrom
4.618 0.099 0.036
0.161 5.320 0.288
0.075 0.410 7.465
ATOMIC_POSITIONS crystal
F 0.588 0.734 0.536
F 0.852 0.226 0.765
F 0.148 0.774 0.235
F 0.331 0.236 0.985
F 0.412 0.266 0.464
Ag 0.479 0.489 0.769
Zn 0.000 0.000 0.000
Ag 0.521 0.511 0.231
F 0.143 0.778 0.797
F 0.669 0.764 0.015
Sr 0.000 0.000 0.500
F 0.857 0.222 0.203
```



Record 13
Below is crystalline Pr2YCd at its relaxed geometry, with properties calculated at the PBE level. Values from VASP.

## Properties
As for the space group: Cmcm, No. 63. As for the raw total energy: -68.8 eV per cell. For the excess energy over the best structure of this formula in the dataset, the calculation gives 0.0928 eV/atom. For the total magnetization, the calculation gives 0.000 μB/cell.

Quantum ESPRESSO input file:
```
&SYSTEM
  ibrav = 0, nat = 16, ntyp = 3
/
ATOMIC_SPECIES
Pr 140.91 Pr.upf
Cd 112.41 Cd.upf
Y 88.91 Y.upf
CELL_PARAMETERS angstrom
5.956 0.000 0.000
0.000 8.090 -0.010
0.000 0.012 10.384
ATOMIC_POSITIONS crystal
Pr 0.750 0.914 0.951
Cd 0.000 0.750 0.250
Y 0.250 0.402 0.250
Pr 0.250 0.086 0.451
Pr 0.250 0.586 0.951
Pr 0.750 0.414 0.049
Pr 0.750 0.914 0.549
Y 0.250 0.902 0.750
Y 0.750 0.598 0.750
Cd 0.500 0.250 0.750
Pr 0.250 0.586 0.549
Cd 0.500 0.750 0.250
Pr 0.750 0.414 0.451
Y 0.750 0.098 0.250
Cd 0.000 0.250 0.750
Pr 0.250 0.086 0.049
```